No. 1
9
Lattice="3.7300 0.0000 0.0000 0.0000 6.5285 3.7765 0.0000 -6.5285 3.7765" Properties=species:S:1:pos:R:3 comment="Dy2TmTl3Ni3 | OQMD via LeMat-Bulk | PBE | relaxed" magnetic_moment_mub_per_fu=0.0 crystal_system=orthorhombic spacegroup="Amm2, No. 38" pbc="T T T"
Dy 0.0000 -3.8683 3.7765
Dy 0.0000 3.8683 3.7765
Tm 0.0000 0.0000 4.6148
Tl 1.8650 -1.7023 2.5311
Tl 1.8650 1.7023 2.5311
Tl 1.8650 0.0000 7.1051
Ni 0.0000 0.0000 1.5420
Ni 1.8650 -2.1603 5.3109
Ni 1.8650 2.1603 5.3109



No. 2
3
Lattice="0.0000 3.2524 3.2524 3.2524 0.0000 3.2524 3.2524 3.2524 0.0000" Properties=species:S:1:pos:R:3 comment="PuHfNb | OQMD via LeMat-Bulk | PBE | relaxed" magnetic_moment_mub_per_fu=4.6 crystal_system=cubic polymorph_energy_kcal_per_mol_atoms=0.00 spacegroup="F-43m, No. 216" pbc="T T T"
Pu 0.0000 0.0000 0.0000
Hf 3.2524 3.2524 3.2524
Nb 4.8787 4.8787 4.8787



No. 3
9
Lattice="3.9125 0.0000 0.0000 0.0000 6.7748 3.9237 0.0000 -6.7748 3.9237" Properties=species:S:1:pos:R:3 comment="Y2ErCd3Ag3 | OQMD via LeMat-Bulk | PBE | relaxed" magnetic_moment_mub_per_fu=0.0 crystal_system=orthorhombic spacegroup="Amm2, No. 38" pbc="T T T"
Y 0.0000 -4.0351 3.9237
Y 0.0000 4.0351 3.9237
Er 0.0000 0.0000 4.7614
Cd 1.9563 -1.7842 2.6228
Cd 1.9563 1.7842 2.6228
Cd 1.9563 0.0000 7.3706
Ag 0.0000 0.0000 1.5974
Ag 1.9563 -2.2390 5.5062
Ag 1.9563 2.2390 5.5062



No. 4
36
Lattice="12.1871 0.0000 0.0000 0.0000 8.9274 0.0000 0.0000 0.0000 8.9633" Properties=species:S:1:pos:R:3 comment="Ba2FeBiS5 | OQMD via LeMat-Bulk | PBE | relaxed" magnetic_moment_mub_per_fu=5.0 crystal_system=orthorhombic spacegroup="Pnma, No. 62" pbc="T T T"
Ba 2.1597 0.0792 1.0454
Ba 2.1597 4.3845 1.0454
Ba 3.9338 4.5429 5.5271
Ba 3.9338 8.8483 5.5271
Ba 8.2533 0.0792 3.4363
Ba 8.2533 4.3845 3.4363
Ba 10.0274 4.5429 7.9179
Ba 10.0274 8.8483 7.9179
Fe 1.1583 6.6956 7.4068
Fe 4.9352 2.2319 2.9252
Fe 7.2519 6.6956 6.0382
Fe 11.0288 2.2319 1.5565
Bi 0.1800 6.6956 4.1904
Bi 5.9135 2.2319 8.6720
Bi 6.2736 6.6956 0.2913
Bi 12.0071 2.2319 4.7730
S 0.0518 2.2319 8.6845
S 0.6720 4.8724 6.1195
S 0.6720 8.5188 6.1195
S 2.6064 6.6956 3.3359
S 2.7558 2.2319 3.4343
S 3.3378 6.6956 7.9160
S 3.4871 2.2319 7.8176
S 5.4215 0.4087 1.6379
S 5.4215 4.0550 1.6379
S 6.0418 6.6956 4.2028
S 6.1453 2.2319 4.7605
S 6.7656 4.8724 7.3255
S 6.7656 8.5188 7.3255
S 8.7000 6.6956 1.1458
S 8.8493 2.2319 1.0473
S 9.4313 6.6956 5.5290
S 9.5807 2.2319 5.6275
S 11.5151 0.4087 2.8438
S 11.5151 4.0550 2.8438
S 12.1353 6.6956 0.2788



No. 5
6
Lattice="5.5842 0.0000 0.0000 -2.7921 4.8361 0.0000 0.0000 0.0000 4.5334" Properties=species:S:1:pos:R:3 comment="Nb5H | OQMD via LeMat-Bulk | PBE | relaxed" magnetic_moment_mub_per_fu=0.0 crystal_system=hexagonal spacegroup="P6/mmm, No. 191" pbc="T T T"
Nb -1.3961 2.4180 0.0000
Nb 0.0000 3.2240 2.2667
Nb 2.7921 0.0000 0.0000
Nb 1.3961 2.4180 0.0000
Nb 2.7921 1.6120 2.2667
H 0.0000 0.0000 2.2667



No. 6
12
Lattice="8.8145 0.0000 0.0000 0.0000 3.8868 0.0000 -2.9829 0.0000 8.8000" Properties=species:S:1:pos:R:3 comment="TmTlFeS3 | OQMD via LeMat-Bulk | PBE | relaxed" magnetic_moment_mub_per_fu=3.8 crystal_system=monoclinic spacegroup="P2_1/m, No. 11" pbc="T T T"
Tm 1.0487 0.9717 1.2879
Tm 4.7829 2.9151 7.5121
Tl 0.2236 2.9151 6.7518
Tl 5.6080 0.9717 2.0482
Fe 2.5313 2.9151 3.5856
Fe 3.3003 0.9717 5.2144
S -2.1764 0.9717 7.4341
S 1.2736 0.9717 4.0610
S 2.9402 2.9151 1.3348
S 2.8915 0.9717 7.4652
S 4.5580 2.9151 4.7390
S 8.0080 2.9151 1.3659



No. 7
8
Lattice="3.9961 0.0000 0.0000 0.0000 3.9961 0.0000 0.0000 0.0000 9.5773" Properties=species:S:1:pos:R:3 comment="KPtNO | OQMD via LeMat-Bulk | PBE | relaxed" magnetic_moment_mub_per_fu=1.2 crystal_system=tetragonal polymorph_energy_kcal_per_mol_atoms=14.37 spacegroup="P4/nmm, No. 129" pbc="T T T"
K 0.9990 0.9990 1.6586
K 2.9971 2.9971 7.9187
Pt 0.9990 2.9971 4.7887
Pt 2.9971 0.9990 4.7887
N 0.9990 0.9990 5.5114
N 2.9971 2.9971 4.0660
O 0.9990 2.9971 0.0000
O 2.9971 0.9990 0.0000



No. 8
8
Lattice="2.1212 1.2247 12.4154 -2.1212 1.2247 12.4154 0.0000 -2.4494 12.4154" Properties=species:S:1:pos:R:3 comment="KZn2Cd2As2P | OQMD via LeMat-Bulk | PBE | relaxed" crystal_system=trigonal polymorph_energy_kcal_per_mol_atoms=0.00 spacegroup="R-3m, No. 166" pbc="T T T"
K 0.0000 0.0000 0.0000
Zn 0.0000 0.0000 15.1838
Zn 0.0000 0.0000 22.0624
Cd 0.0000 0.0000 7.3739
Cd 0.0000 0.0000 29.8723
As 0.0000 0.0000 10.0532
As 0.0000 0.0000 27.1930
P 0.0000 0.0000 18.6231



No. 9
4
Lattice="0.0000 3.3908 3.3908 3.3908 0.0000 3.3908 3.3908 3.3908 0.0000" Properties=species:S:1:pos:R:3 comment="YNbAl2 | OQMD via LeMat-Bulk | PBE | relaxed" magnetic_moment_mub_per_fu=0.0 crystal_system=cubic spacegroup="F-43m, No. 216" pbc="T T T"
Y 0.0000 0.0000 0.0000
Nb 5.0862 5.0862 5.0862
Al 1.6954 1.6954 1.6954
Al 3.3908 3.3908 3.3908



No. 10
5
Lattice="3.6285 0.0000 0.0000 -1.8142 3.1423 0.0000 0.0000 0.0000 6.3367" Properties=species:S:1:pos:R:3 comment="DyYCF2 | OQMD via LeMat-Bulk | PBE | relaxed" magnetic_moment_mub_per_fu=0.0 crystal_system=trigonal spacegroup="P3m1, No. 156" pbc="T T T"
Dy 0.0000 0.0000 0.0000
Y 1.8142 1.0474 2.6926
C 0.0000 2.0949 1.3435
F 0.0000 0.0000 3.8046
F 1.8142 1.0474 5.2450



No. 11
2
Lattice="0.0000 2.7239 2.7239 2.7239 0.0000 2.7239 2.7239 2.7239 0.0000" Properties=species:S:1:pos:R:3 comment="NiBi | OQMD via LeMat-Bulk | PBE | relaxed" magnetic_moment_mub_per_fu=0.0 crystal_system=cubic spacegroup="Fm-3m, No. 225" pbc="T T T"
Ni 0.0000 0.0000 0.0000
Bi 2.7239 2.7239 2.7239



No. 12
8
Lattice="3.9616 0.0000 0.0000 0.0000 1.9857 8.1894 0.0000 -1.9857 8.1894" Properties=species:S:1:pos:R:3 comment="DyHoSi4Ni2 | OQMD via LeMat-Bulk | PBE | relaxed" magnetic_moment_mub_per_fu=0.0 crystal_system=orthorhombic spacegroup="Amm2, No. 38" pbc="T T T"
Dy 0.0000 0.0000 0.0000
Ho 1.9808 0.0000 12.9263
Si 0.0000 0.0000 5.8095
Si 0.0000 0.0000 10.5611
Si 1.9808 0.0000 2.3726
Si 1.9808 0.0000 7.1153
Ni 0.0000 0.0000 3.5567
Ni 1.9808 0.0000 9.3749



No. 13
4
Lattice="1.9050 -5.2272 0.0000 1.9050 5.2272 0.0000 0.0000 0.0000 4.3264" Properties=species:S:1:pos:R:3 comment="NdNi | OQMD via LeMat-Bulk | PBE | relaxed" magnetic_moment_mub_per_fu=0.0 crystal_system=orthorhombic spacegroup="Cmcm, No. 63" pbc="T T T"
Nd 1.9050 3.7922 3.2448
Nd 1.9050 -3.7922 1.0816
Ni 1.9050 0.7585 3.2448
Ni 1.9050 -0.7585 1.0816



No. 14
8
Lattice="4.9071 0.0000 0.0000 -2.4535 4.2496 0.0000 0.0000 0.0000 9.8155" Properties=species:S:1:pos:R:3 comment="Lu2TlAg | OQMD via LeMat-Bulk | PBE | relaxed" magnetic_moment_mub_per_fu=0.0 crystal_system=hexagonal polymorph_energy_kcal_per_mol_atoms=0.42 spacegroup="P6_3/mmc, No. 194" pbc="T T T"
Lu 0.0000 2.8331 0.9033
Lu 0.0000 2.8331 4.0045
Lu 2.4535 1.4165 5.8110
Lu 2.4535 1.4165 8.9122
Tl 0.0000 0.0000 2.4539
Tl 0.0000 0.0000 7.3616
Ag 0.0000 2.8331 7.3616
Ag 2.4535 1.4165 2.4539



No. 15
30
Lattice="7.1028 4.1008 4.8938 -7.1028 4.1008 4.8938 0.0000 -8.2016 4.8938" Properties=species:S:1:pos:R:3 comment="CuSe3I | OQMD via LeMat-Bulk | PBE | relaxed" crystal_system=trigonal spacegroup="R-3m, No. 166" pbc="T T T"
Cu 0.0000 -4.0642 4.0819
Cu -3.5197 2.0321 4.0819
Cu -3.5197 -2.0321 10.5996
Cu 3.5197 2.0321 4.0819
Cu 3.5197 -2.0321 10.5996
Cu 0.0000 4.0642 10.5996
Se 0.0000 -6.0455 5.4649
Se -1.8751 -1.0826 4.4528
Se -5.2356 3.0228 5.4649
Se -5.2356 -3.0228 9.2166
Se 0.0000 -2.1272 5.5330
Se -1.8422 1.0636 5.5330
Se 1.8751 -1.0826 4.4528
Se 0.0000 2.1651 4.4528
Se -1.8422 -1.0636 9.1485
Se 1.8422 1.0636 5.5330
Se 0.0000 -2.1651 10.2287
Se -1.8751 1.0826 10.2287
Se 1.8422 -1.0636 9.1486
Se 0.0000 2.1272 9.1486
Se 5.2356 3.0228 5.4649
Se 5.2356 -3.0228 9.2166
Se 1.8751 1.0826 10.2287
Se 0.0000 6.0455 9.2166
I -2.4951 -4.3217 7.3408
I -4.9903 0.0000 7.3408
I 2.4951 -4.3217 7.3408
I -2.4951 4.3217 7.3408
I 4.9903 0.0000 7.3408
I 2.4952 4.3217 7.3408



No. 16
3
Lattice="0.0000 3.6137 3.6137 3.6137 0.0000 3.6137 3.6137 3.6137 0.0000" Properties=species:S:1:pos:R:3 comment="LiLaHo | OQMD via LeMat-Bulk | PBE | relaxed" magnetic_moment_mub_per_fu=0.1 crystal_system=cubic polymorph_energy_kcal_per_mol_atoms=0.00 spacegroup="F-43m, No. 216" pbc="T T T"
Li 0.0000 0.0000 0.0000
La 1.8069 1.8069 1.8069
Ho 5.4206 5.4206 5.4206



No. 17
8
Lattice="1.3122 0.7576 16.9916 -1.3122 0.7576 16.9916 0.0000 -1.5152 16.9916" Properties=species:S:1:pos:R:3 comment="Cu7Ag | OQMD via LeMat-Bulk | PBE | relaxed" crystal_system=trigonal polymorph_energy_kcal_per_mol_atoms=0.40 spacegroup="R-3m, No. 166" pbc="T T T"
Cu 0.0000 0.0000 0.0000
Cu 0.0000 0.0000 6.1721
Cu 0.0000 0.0000 12.8705
Cu 0.0000 0.0000 19.0492
Cu 0.0000 0.0000 31.9257
Cu 0.0000 0.0000 38.1044
Cu 0.0000 0.0000 44.8028
Ag 0.0000 0.0000 25.4874



No. 18
4
Lattice="0.0000 2.9518 2.9518 2.9518 0.0000 2.9518 2.9518 2.9518 0.0000" Properties=species:S:1:pos:R:3 comment="ZnCuNiIr | OQMD via LeMat-Bulk | PBE | relaxed" magnetic_moment_mub_per_fu=0.7 crystal_system=cubic polymorph_energy_kcal_per_mol_atoms=0.00 spacegroup="F-43m, No. 216" pbc="T T T"
Zn 0.0000 0.0000 0.0000
Cu 4.4277 4.4277 4.4277
Ni 2.9518 2.9518 2.9518
Ir 1.4759 1.4759 1.4759



No. 19
12
Lattice="2.0076 -6.4814 0.0000 2.0076 6.4814 0.0000 0.0000 0.0000 11.1176" Properties=species:S:1:pos:R:3 comment="CuNiTe3Pb | OQMD via LeMat-Bulk | PBE | relaxed" magnetic_moment_mub_per_fu=0.0 crystal_system=orthorhombic spacegroup="Cmcm, No. 63" pbc="T T T"
Cu 2.0076 5.1589 8.3382
Cu 2.0076 -5.1589 2.7794
Ni 2.0076 0.0000 0.0000
Ni 2.0076 0.0000 5.5588
Te 2.0076 4.8168 5.7570
Te 2.0076 4.8168 10.9195
Te 2.0076 0.4359 8.3382
Te 2.0076 -0.4359 2.7794
Te 2.0076 -4.8168 0.1981
Te 2.0076 -4.8168 5.3607
Pb 2.0076 3.4100 2.7794
Pb 2.0076 -3.4100 8.3382



No. 20
8
Lattice="3.4670 0.0000 0.0000 -1.7335 3.0025 0.0000 0.0000 0.0000 13.6146" Properties=species:S:1:pos:R:3 comment="Lu4SnSN2 | OQMD via LeMat-Bulk | PBE | relaxed" magnetic_moment_mub_per_fu=0.0 crystal_system=hexagonal spacegroup="P-6m2, No. 187" pbc="T T T"
Lu 0.0000 0.0000 1.8366
Lu 0.0000 0.0000 11.7780
Lu 1.7335 1.0008 4.3687
Lu 1.7335 1.0008 9.2459
Sn 0.0000 0.0000 6.8073
S 1.7335 1.0008 0.0000
N 0.0000 2.0017 3.0975
N 0.0000 2.0017 10.5171



No. 21
11
Lattice="-2.0846 3.2821 6.8943 2.0846 -3.2821 6.8943 2.0846 3.2821 -6.8943" Properties=species:S:1:pos:R:3 comment="TbGd2Cu4Si4 | OQMD via LeMat-Bulk | PBE | relaxed" magnetic_moment_mub_per_fu=0.0 crystal_system=orthorhombic spacegroup="Immm, No. 71" pbc="T T T"
Tb 0.0000 0.0000 0.0000
Gd 2.0846 0.0000 5.0985
Gd 0.0000 3.2821 1.7958
Cu 2.0846 1.2480 -2.3212
Cu 2.0846 1.2480 2.3212
Cu 0.0000 2.0342 4.5730
Cu 0.0000 2.0342 9.2155
Si 0.0000 0.0000 2.9765
Si 2.0846 2.0716 0.0000
Si 0.0000 1.2105 6.8943
Si 0.0000 0.0000 10.8120



No. 22
10
Lattice="2.1741 -7.0669 0.0000 2.1741 7.0669 0.0000 0.0000 0.0000 10.7836" Properties=species:S:1:pos:R:3 comment="LaLuTe3 | OQMD via LeMat-Bulk | PBE | relaxed" magnetic_moment_mub_per_fu=0.0 crystal_system=orthorhombic spacegroup="Cmcm, No. 63" pbc="T T T"
La 2.1741 3.5325 8.0877
La 2.1741 -3.5325 2.6959
Lu 0.0000 0.0000 0.0000
Lu 0.0000 0.0000 5.3918
Te 2.1741 5.8821 2.6959
Te 2.1741 2.0351 0.6389
Te 2.1741 2.0351 4.7529
Te 2.1741 -2.0351 6.0308
Te 2.1741 -2.0351 10.1447
Te 2.1741 -5.8821 8.0877



No. 23
12
Lattice="6.8060 0.0000 0.0000 0.0000 3.6902 0.0000 -1.2550 0.0000 7.6175" Properties=species:S:1:pos:R:3 comment="ZrBe | OQMD via LeMat-Bulk | PBE | relaxed" magnetic_moment_mub_per_fu=0.0 crystal_system=monoclinic spacegroup="P2_1/m, No. 11" pbc="T T T"
Zr 0.6975 0.9225 1.1831
Zr 0.3018 0.9225 4.7277
Zr 1.2142 2.7676 6.9027
Zr 4.3367 0.9225 0.7148
Zr 5.2491 2.7676 2.8898
Zr 4.8534 2.7676 6.4344
Be 1.1532 2.7676 3.1198
Be 2.7536 2.7676 1.9391
Be 2.6823 0.9225 3.1837
Be 2.8687 2.7676 4.4338
Be 2.7974 0.9225 5.6784
Be 4.3978 0.9225 4.4977



Ordered calculated volume results: 20.4, 22.9, 23.1, 27.1, 20.4, 25.1, 19.1, 24.2, 19.5, 14.4, 20.2, 16.1, 21.5, 25.6, 28.5, 31.5, 12.7, 12.9, 24.1, 17.7, 17.2, 33.1, 15.9; unit Å³ per atom.
Ordered energy results: -4.513, -10.736, -3.528, -5.263, -7.687, -5.661, -4.666, -2.778, -5.830, -7.222, -4.619, -6.088, -5.490, -3.540, -3.237, -3.331, -3.545, -4.841, -3.844, -6.898, -5.221, -5.249, -6.170; unit eV/atom.